1.
A relaxed structure of Zr4InBiB2. Source: OQMD via LeMat-Bulk, functional PBE-GGA.

Computed properties:
As for the spin magnetization: 0.00 μB per atom. The calculation puts the raw total energy at -7.297 eV per atom. As for the crystal system: hexagonal.

Cell: 3.503 3.503 15.007 Å, 90.00 90.00 120.00°
Sites, in units of the cell vectors:
B  0.333  0.667  0.248
B  0.333  0.667  0.752
Bi  0.000  0.000  0.000
In  0.667  0.333  0.500
Zr  0.667  0.333  0.163
Zr  0.000  0.000  0.334
Zr  0.000  0.000  0.666
Zr  0.667  0.333  0.837

2.
A relaxed structure of LiZnAsH2O5. Source: OQMD via LeMat-Bulk, functional PBE-GGA.

Computed properties:
The calculation puts the raw total energy at -5.342 eV per atom. As for the crystal system: orthorhombic.

Cell: 10.905 8.187 5.074 Å, 90.00 90.00 90.00°
Sites, in units of the cell vectors:
As  0.170  0.083  0.259
As  0.670  0.417  0.259
As  0.330  0.583  0.759
As  0.830  0.917  0.759
H  0.978  0.537  0.090
H  0.478  0.963  0.090
H  0.957  0.668  0.322
H  0.457  0.832  0.322
H  0.522  0.037  0.590
H  0.022  0.463  0.590
H  0.543  0.168  0.822
H  0.043  0.332  0.822
Li  0.177  0.667  0.262
Li  0.677  0.833  0.262
Li  0.323  0.167  0.762
Li  0.823  0.333  0.762
O  0.319  0.570  0.096
O  0.819  0.930  0.096
O  0.299  0.172  0.134
O  0.799  0.328  0.134
O  0.662  0.613  0.135
O  0.162  0.887  0.135
O  0.046  0.192  0.153
O  0.546  0.308  0.153
O  0.011  0.581  0.256
O  0.511  0.919  0.256
O  0.181  0.070  0.596
O  0.681  0.430  0.596
O  0.201  0.672  0.634
O  0.701  0.828  0.634
O  0.838  0.113  0.635
O  0.338  0.387  0.635
O  0.454  0.692  0.653
O  0.954  0.808  0.653
O  0.489  0.081  0.756
O  0.989  0.419  0.756
Zn  0.882  0.132  0.263
Zn  0.382  0.368  0.263
Zn  0.618  0.632  0.763
Zn  0.118  0.868  0.763

3.
A relaxed structure of ErTmSn2Pt4. Source: OQMD via LeMat-Bulk, functional PBE-GGA.

Computed properties:
As for the spin magnetization: 0.00 μB per atom. The calculation puts the raw total energy at -6.177 eV per atom. As for the crystal system: hexagonal.

Cell: 4.542 4.542 9.022 Å, 90.00 90.00 120.00°
Sites, in units of the cell vectors:
Er  0.000  0.000  0.000
Pt  0.333  0.667  0.160
Pt  0.000  0.000  0.341
Pt  0.000  0.000  0.659
Pt  0.333  0.667  0.840
Sn  0.667  0.333  0.250
Sn  0.667  0.333  0.750
Tm  0.333  0.667  0.500